Record 1
LaSi: relaxed, PBE.

The structure in extended XYZ format:
```
4
Lattice="0.0000 3.6252 3.6252 3.6252 0.0000 3.6252 3.6252 3.6252 0.0000" Properties=species:S:1:pos:R:3 pbc="T T T"
La 0.9063 0.9063 0.9063
La 6.3441 6.3441 6.3441
Si 2.7189 2.7189 2.7189
Si 4.5315 4.5315 4.5315
```

Summary:
Electronic total energy (eV per atom): -5.1250
Formation energy from raw total energies (eV/atom): 0.050
Space-group type: No. 227

Record 2
PmDyNiPd: relaxed, PBE.

The structure in extended XYZ format:
```
4
Lattice="0.0000 3.5006 3.5006 3.5006 0.0000 3.5006 3.5006 3.5006 0.0000" Properties=species:S:1:pos:R:3 pbc="T T T"
Pm 0.0000 0.0000 0.0000
Dy 3.5006 3.5006 3.5006
Ni 1.7503 1.7503 1.7503
Pd 5.2509 5.2509 5.2509
```

Summary:
Electronic total energy (eV per atom): -5.6341
Space-group type: No. 216
Energy above the most stable polymorph in this dataset (meV per atom): 65

Record 3
Li2AlCd: relaxed, PBE.

The structure in extended XYZ format:
```
4
Lattice="-1.6439 2.3127 4.4810 1.6439 -2.3127 4.4810 1.6439 2.3127 -4.4810" Properties=species:S:1:pos:R:3 pbc="T T T"
Li 0.0000 0.0000 0.0000
Li 0.0000 2.3127 2.2719
Al 1.6439 0.0000 2.1986
Cd 0.0000 0.0000 4.5326
```

Summary:
Electronic total energy (eV per atom): -2.2698
Space-group type: No. 44

Record 4
K2Sr3RhO6: relaxed, PBE.

The structure in extended XYZ format:
```
12
Lattice="3.2523 -5.5239 0.0000 3.2523 5.5239 0.0000 -2.2701 0.0000 5.4415" Properties=species:S:1:pos:R:3 pbc="T T T"
K 3.2523 3.6702 0.0000
K 3.2523 -3.6702 0.0000
Sr -1.1351 0.0000 2.7207
Sr 2.1172 1.8013 2.7207
Sr 2.1172 -1.8013 2.7207
Rh 3.2523 0.0000 0.0000
O 0.1292 1.5174 4.1303
O 1.5207 0.0000 1.2087
O 0.1292 -1.5174 4.1303
O 4.1052 1.5174 1.3112
O 2.7137 0.0000 4.2328
O 4.1052 -1.5174 1.3112
```

Summary:
Electronic total energy (eV per atom): -5.4703
Formation energy from raw total energies (eV/atom): -1.775
Space-group type: No. 12